#P
Here is an optimized crystal structure of HfZnF3 from the Alexandria database. Energies are from PBE-GGA.

Lattice parameters (Å, degrees): 4.1597 4.1597 4.1597 90.00 90.00 90.00
With the nearest neighbours (Å) after each atom.
Positions (direct):
Zn1 0.0000 0.0000 0.0000  6 F 2.08
Hf1 0.5000 0.5000 0.5000  12 F 2.94
F1 0.0000 0.5000 0.0000  2 Zn 2.08
F2 0.0000 0.0000 0.5000  2 Zn 2.08
F3 0.5000 0.0000 0.0000  2 Zn 2.08

* M_tot: 0.437 μB/atom
* crystal system: cubic



#Q
Here is an optimized crystal structure of HfZnF3 from the Alexandria database. Energies are from PBE-GGA.

Lattice parameters (Å, degrees): 4.2810 4.2810 4.2810 90.00 90.00 90.00
With the nearest neighbours (Å) after each atom.
Positions (direct):
Zn1 0.5000 0.5000 0.5000  12 F 3.03
Hf1 0.0000 0.0000 0.0000  6 F 2.14
F1 0.0000 0.5000 0.0000  2 Hf 2.14
F2 0.0000 0.0000 0.5000  2 Hf 2.14
F3 0.5000 0.0000 0.0000  2 Hf 2.14

* M_tot: 0.199 μB/atom
* crystal system: cubic



What should be chosen as the most stable of them? Choose #Q.



#P
Here is an optimized crystal structure of HfZr2F2 from the Alexandria database. Energies are from PBE-GGA.

Lattice parameters (Å, degrees): 7.9542 7.9542 2.8326 90.00 90.00 90.00
With the nearest neighbours (Å) after each atom.
Positions (direct):
Hf1 0.0000 0.0000 0.0000  2 Hf 2.83, 4 Zr 3.00
Hf2 0.5000 0.5000 0.0000  2 Hf 2.83, 4 Zr 3.00
Zr1 0.3440 0.8440 0.0000  4 F 2.52
Zr2 0.8440 0.6560 0.0000  4 F 2.52
Zr3 0.6560 0.1560 0.0000  4 F 2.52
Zr4 0.1560 0.3440 0.0000  4 F 2.52
F1 0.0998 0.5998 0.5000  1 F 2.24
F2 0.5998 0.9002 0.5000  1 F 2.24
F3 0.9002 0.4002 0.5000  1 F 2.24
F4 0.4002 0.0998 0.5000  1 F 2.24

* M_tot: 0.000 μB/atom
* crystal system: tetragonal



#Q
Here is an optimized crystal structure of HfZr2F2 from the Alexandria database. Energies are from PBE-GGA.

Lattice parameters (Å, degrees): 3.3610 3.3610 7.9067 77.73 77.73 90.00
With the nearest neighbours (Å) after each atom.
Positions (direct):
Hf1 0.0000 0.0000 0.0000  8 Zr 3.18, 4 Hf 3.36
Zr1 0.3597 0.3597 0.2806  4 F 2.36
Zr2 0.6403 0.6403 0.7194  4 F 2.36
F1 0.7500 0.2500 0.5000  4 Zr 2.36, 4 F 2.38
F2 0.2500 0.7500 0.5000  4 Zr 2.36, 4 F 2.38

* M_tot: 0.000 μB/atom
* crystal system: tetragonal



What should be chosen as the most stable of them? Choose #Q.



#P
Here is an optimized crystal structure of HfZrF2 from the Alexandria database. Energies are from PBE-GGA.

Lattice parameters (Å, degrees): 7.9779 7.9779 7.9779 21.37 21.37 21.37
With the nearest neighbours (Å) after each atom.
Positions (direct):
Hf1 0.0000 0.0000 0.0000  2 F 2.28
Zr1 0.5000 0.5000 0.5000  6 F 2.35
F1 0.9025 0.9025 0.9025  1 Hf 2.28, 3 Zr 2.35
F2 0.0975 0.0975 0.0975  1 Hf 2.28, 3 Zr 2.35

* M_tot: 0.000 μB/atom
* crystal system: trigonal



#Q
Here is an optimized crystal structure of HfZrF2 from the Alexandria database. Energies are from PBE-GGA.

Lattice parameters (Å, degrees): 5.0036 5.0036 6.2591 66.44 66.44 90.00
With the nearest neighbours (Å) after each atom.
Positions (direct):
Hf1 0.0000 0.0000 0.0000  4 F 2.13
Hf2 0.7500 0.2500 0.5000  4 F 2.13
Zr1 0.5000 0.5000 0.0000  4 F 2.26
Zr2 0.2500 0.7500 0.5000  4 F 2.26
F1 0.6477 0.1250 0.2500  2 Hf 2.13, 2 Zr 2.26
F2 0.1023 0.6250 0.2500  2 Hf 2.13, 2 Zr 2.26
F3 0.3750 0.3523 0.7500  2 Hf 2.13, 2 Zr 2.26
F4 0.8750 0.8977 0.7500  2 Hf 2.13, 2 Zr 2.26

* M_tot: 0.000 μB/atom
* crystal system: tetragonal



#R
Here is an optimized crystal structure of HfZrF2 from the Alexandria database. Energies are from PBE-GGA.

Lattice parameters (Å, degrees): 4.4336 4.4336 4.4336 60.00 60.00 60.00
With the nearest neighbours (Å) after each atom.
Positions (direct):
Hf1 0.5000 0.5000 0.5000  8 F 2.72
Zr1 0.0000 0.0000 0.0000  8 F 2.72
F1 0.2500 0.2500 0.2500  4 Zr 2.72, 4 Hf 2.72
F2 0.7500 0.7500 0.7500  4 Zr 2.72, 4 Hf 2.72

* M_tot: 0.000 μB/atom
* crystal system: cubic



What should be chosen as the most stable of them? Choose #P.



#P
Here is an optimized crystal structure of HfZrF3 from the Alexandria database. Energies are from PBE-GGA.

Lattice parameters (Å, degrees): 4.4161 4.4161 4.4161 90.00 90.00 90.00
With the nearest neighbours (Å) after each atom.
Positions (direct):
Hf1 0.5000 0.5000 0.5000  12 F 3.12
Zr1 0.0000 0.0000 0.0000  6 F 2.21
F1 0.0000 0.5000 0.0000  2 Zr 2.21
F2 0.0000 0.0000 0.5000  2 Zr 2.21
F3 0.5000 0.0000 0.0000  2 Zr 2.21

* M_tot: 0.779 μB/atom
* crystal system: cubic



#Q
Here is an optimized crystal structure of HfZrF3 from the Alexandria database. Energies are from PBE-GGA.

Lattice parameters (Å, degrees): 4.3445 4.3445 4.3445 90.00 90.00 90.00
With the nearest neighbours (Å) after each atom.
Positions (direct):
Hf1 0.0000 0.0000 0.0000  6 F 2.17
Zr1 0.5000 0.5000 0.5000  12 F 3.07
F1 0.0000 0.5000 0.0000  2 Hf 2.17
F2 0.0000 0.0000 0.5000  2 Hf 2.17
F3 0.5000 0.0000 0.0000  2 Hf 2.17

* M_tot: 0.901 μB/atom
* crystal system: cubic



What should be chosen as the most stable of them? Choose #Q.



#P
Here is an optimized crystal structure of Hf3ZrF from the Alexandria database. Energies are from PBE-GGA.

Lattice parameters (Å, degrees): 4.5995 4.5995 4.5995 90.00 90.00 90.00
With the nearest neighbours (Å) after each atom.
Positions (direct):
Hf1 0.0000 0.5000 0.0000  2 F 2.30
Hf2 0.0000 0.0000 0.5000  2 F 2.30
Hf3 0.5000 0.0000 0.0000  2 F 2.30
Zr1 0.5000 0.5000 0.5000  12 Hf 3.25
F1 0.0000 0.0000 0.0000  6 Hf 2.30

* M_tot: 0.000 μB/atom
* crystal system: cubic



#Q
Here is an optimized crystal structure of Hf3ZrF from the Alexandria database. Energies are from PBE-GGA.

Lattice parameters (Å, degrees): 5.1766 5.1766 5.1766 90.00 90.00 90.00
With the nearest neighbours (Å) after each atom.
Positions (direct):
Hf1 0.0000 0.5000 0.0000  2 Zr 2.59
Hf2 0.0000 0.0000 0.5000  2 Zr 2.59
Hf3 0.5000 0.0000 0.0000  2 Zr 2.59
Zr1 0.0000 0.0000 0.0000  6 Hf 2.59
F1 0.5000 0.5000 0.5000  12 Hf 3.66

* M_tot: 0.000 μB/atom
* crystal system: cubic



What should be chosen as the most stable of them? Choose #P.



#P
Here is an optimized crystal structure of HfZr3F from the Alexandria database. Energies are from PBE-GGA.

Lattice parameters (Å, degrees): 4.6207 4.6207 4.6207 90.00 90.00 90.00
With the nearest neighbours (Å) after each atom.
Positions (direct):
Hf1 0.5000 0.5000 0.5000  12 Zr 3.27
Zr1 0.0000 0.5000 0.0000  2 F 2.31
Zr2 0.0000 0.0000 0.5000  2 F 2.31
Zr3 0.5000 0.0000 0.0000  2 F 2.31
F1 0.0000 0.0000 0.0000  6 Zr 2.31

* M_tot: 0.000 μB/atom
* crystal system: cubic



#Q
Here is an optimized crystal structure of HfZr3F from the Alexandria database. Energies are from PBE-GGA.

Lattice parameters (Å, degrees): 5.2388 5.2388 5.2388 90.00 90.00 90.00
With the nearest neighbours (Å) after each atom.
Positions (direct):
Hf1 0.0000 0.0000 0.0000  6 Zr 2.62
Zr1 0.0000 0.5000 0.0000  2 Hf 2.62
Zr2 0.0000 0.0000 0.5000  2 Hf 2.62
Zr3 0.5000 0.0000 0.0000  2 Hf 2.62
F1 0.5000 0.5000 0.5000  12 Zr 3.70

* M_tot: 0.000 μB/atom
* crystal system: cubic



What should be chosen as the most stable of them? Choose #P.